No. 1
Na4Pa3FeN8 after structural relaxation, computed with PBE-GGA.

Calculated values
Formation energy from raw total energies in eV/atom: -0.751
E in eV per atom: -7.55
Space group: No. 166
Crystal system: trigonal

Cell: 6.861 6.950 6.860 Å, 119.58 120.00 90.00°
Sites, in units of the cell vectors:
1 Na 0.500 0.000 0.000
2 Na 0.500 0.000 0.500
3 Na 0.000 0.000 0.000
4 Na 0.000 0.000 0.500
5 Pa 0.500 0.500 0.000
6 Pa 0.500 0.500 0.500
7 Pa 0.000 0.500 0.500
8 Fe 0.000 0.500 0.000
9 N 0.220 0.686 0.966
10 N 0.220 0.686 0.440
11 N 0.270 0.309 0.539
12 N 0.746 0.686 0.966
13 N 0.254 0.314 0.034
14 N 0.730 0.691 0.461
15 N 0.780 0.314 0.560
16 N 0.780 0.314 0.034



No. 2
Na2PaFe2N4 after structural relaxation, computed with PBE-GGA.

Calculated values
Formation energy from raw total energies in eV/atom: -0.561
E in eV per atom: -7.49
Space group: No. 12
Crystal system: monoclinic

Cell: 3.427 6.865 8.321 Å, 136.19 90.00 104.45°
Sites, in units of the cell vectors:
1 Na 0.855 0.709 0.457
2 Na 0.145 0.291 0.543
3 Pa 0.000 0.000 0.000
4 Fe 0.340 0.680 0.066
5 Fe 0.660 0.320 0.934
6 N 0.786 0.572 0.911
7 N 0.214 0.428 0.089
8 N 0.544 0.089 0.223
9 N 0.456 0.911 0.777



No. 3
Na3Pa2FeN6 after structural relaxation, computed with PBE-GGA.

Calculated values
Formation energy from raw total energies in eV/atom: -0.644
E in eV per atom: -7.42
Space group: No. 12
Crystal system: monoclinic

Cell: 5.818 5.818 6.010 Å, 98.84 98.84 120.20°
Sites, in units of the cell vectors:
1 Na 0.152 0.848 0.500
2 Na 0.848 0.152 0.500
3 Na 0.500 0.500 0.500
4 Pa 0.333 0.667 0.000
5 Pa 0.667 0.333 0.000
6 Fe 0.000 0.000 0.000
7 N 0.939 0.630 0.812
8 N 0.748 0.748 0.186
9 N 0.061 0.370 0.188
10 N 0.630 0.939 0.812
11 N 0.252 0.252 0.814
12 N 0.370 0.061 0.188



No. 4
NaPa2FeN4 after structural relaxation, computed with PBE-GGA.

Calculated values
Formation energy from raw total energies in eV/atom: -0.826
E in eV per atom: -8.59
Space group: No. 121
Crystal system: tetragonal

Cell: 5.092 5.092 5.092 Å, 103.60 112.49 112.49°
Sites, in units of the cell vectors:
1 Na 0.000 0.000 0.000
2 Pa 0.500 0.750 0.250
3 Pa 0.500 0.250 0.750
4 Fe 0.000 0.500 0.500
5 N 0.000 0.229 0.692
6 N 0.537 0.308 0.308
7 N 0.463 0.771 0.771
8 N 0.000 0.692 0.229



No. 5
NaPaFeN3 after structural relaxation, computed with PBE-GGA.

Calculated values
Formation energy from raw total energies in eV/atom: -0.781
E in eV per atom: -8.16
Space group: No. 12
Crystal system: monoclinic

Cell: 3.734 6.701 6.896 Å, 104.75 90.00 106.18°
Sites, in units of the cell vectors:
1 Na 0.355 0.710 0.928
2 Na 0.645 0.290 0.072
3 Pa 0.650 0.300 0.586
4 Pa 0.350 0.700 0.414
5 Fe 0.002 0.005 0.259
6 Fe 0.998 0.995 0.741
7 N 0.852 0.704 0.212
8 N 0.833 0.665 0.622
9 N 0.509 0.018 0.292
10 N 0.167 0.335 0.378
11 N 0.491 0.982 0.708
12 N 0.148 0.296 0.788



No. 6
NaFePdN after structural relaxation, computed with PBE-GGA.

Calculated values
Formation energy from raw total energies in eV/atom: 0.038
E in eV per atom: -5.79
Space group: No. 129
Crystal system: tetragonal

Cell: 3.500 3.500 10.229 Å, 90.00 90.00 90.00°
Sites, in units of the cell vectors:
1 Na 0.750 0.750 0.257
2 Na 0.250 0.250 0.743
3 Fe 0.750 0.250 0.000
4 Fe 0.250 0.750 0.000
5 Pd 0.250 0.750 0.500
6 Pd 0.750 0.250 0.500
7 N 0.750 0.750 0.922
8 N 0.250 0.250 0.078



No. 7
Na2FePdN after structural relaxation, computed with PBE-GGA.

Calculated values
Formation energy from raw total energies in eV/atom: 0.462
E in eV per atom: -4.46
Energy above the lowest structure with this stoichiometry in meV/atom: 279
Space group: No. 123
Crystal system: tetragonal

Cell: 5.526 3.407 5.526 Å, 90.00 90.00 90.00°
Sites, in units of the cell vectors:
1 Na 0.000 0.000 0.500
2 Na 0.500 0.000 0.000
3 Fe 0.000 0.000 0.000
4 Pd 0.500 0.500 0.500
5 N 0.000 0.500 0.000



No. 8
Na2FePdN after structural relaxation, computed with PBE-GGA.

Calculated values
Formation energy from raw total energies in eV/atom: 0.182
E in eV per atom: -4.74
Energy above the lowest structure with this stoichiometry in meV/atom: 0
Space group: No. 123
Crystal system: tetragonal

Cell: 4.811 3.537 4.811 Å, 90.00 90.00 90.00°
Sites, in units of the cell vectors:
1 Na 0.000 0.000 0.500
2 Na 0.500 0.000 0.000
3 Fe 0.000 0.500 0.000
4 Pd 0.500 0.500 0.500
5 N 0.000 0.000 0.000